A plane-wave DFT calculation with PBE was carried out for an optimized crystal structure of Rb2TlZnI6.

```
data_Rb2TlZnI6
_cell_length_a 8.486
_cell_length_b 8.486
_cell_length_c 12.033
_cell_angle_alpha 90.00
_cell_angle_beta 90.00
_cell_angle_gamma 90.00
_symmetry_space_group_name_H-M 'I 4/m m m'
_symmetry_Int_Tables_number 139
_symmetry_space_group_name_Hall '-I 4 2'
loop_
_atom_site_label
_atom_site_type_symbol
_atom_site_fract_x
_atom_site_fract_y
_atom_site_fract_z
Rb1 Rb 0.000 0.500 0.250
Tl1 Tl 0.000 0.000 0.000
Zn1 Zn 0.000 0.000 0.500
I1 I 0.000 0.000 0.262
I2 I 0.238 0.238 0.500
```

Magnetic moment   0.00 μB/f.u.
VASP energy   -2.2895 eV/atom